Below is a relaxed LiPr2HoSe4 crystal, with properties calculated at the PBE-GGA level.

The value obtained for the uncorrected formation energy is -1751.6 meV per atom.

abc: 4.143 7.207 7.152
angles: 70.71 90.00 90.00
Sites, in units of the cell vectors:
Se 0.500 0.730 0.252
Se 0.500 0.270 0.748
Se 0.000 0.270 0.241
Se 0.000 0.730 0.759
Ho 0.000 0.500 0.500
Pr 0.500 0.000 0.500
Pr 0.000 0.000 0.000
Li 0.500 0.500 0.000

***

Below is a relaxed ZrSc2Ru crystal, with properties calculated at the PBE-GGA level.

The calculation puts the formation energy at -0.1076 eV per atom. The energy above the most stable polymorph in this dataset is 245 meV per atom.

abc: 9.546 9.546 9.546
angles: 19.50 19.50 19.50
Sites, in units of the cell vectors:
Ru 0.750 0.750 0.750
Zr 0.488 0.488 0.488
Sc 0.246 0.246 0.246
Sc 0.016 0.016 0.016

***

Below is a relaxed Ba2ZnTc crystal, with properties calculated at the PBE-GGA level.

The calculation puts the formation energy at 0.7258 eV per atom.

abc: 6.020 6.020 6.020
angles: 132.43 132.43 69.54
Last column: magnetic moment on the atom in μB.
Sites, in units of the cell vectors:
Ba 0.250 0.750 0.500  -0.08
Ba 0.000 0.000 0.000  -0.11
Zn 0.750 0.250 0.500  -0.05
Tc 0.500 0.500 0.000  1.77

***

Below is a relaxed DyZrSc14 crystal, with properties calculated at the PBE-GGA level.

The calculation puts the formation energy at 0.0452 eV per atom.

abc: 6.561 6.561 9.163
angles: 90.00 90.00 90.04
Sites, in units of the cell vectors:
Sc 0.875 0.625 0.500
Sc 0.630 0.880 0.249
Sc 0.375 0.125 0.000
Sc 0.875 0.625 0.000
Sc 0.120 0.880 0.751
Sc 0.120 0.880 0.249
Sc 0.630 0.370 0.751
Sc 0.630 0.880 0.751
Sc 0.630 0.370 0.249
Sc 0.875 0.125 0.500
Sc 0.120 0.370 0.751
Sc 0.375 0.125 0.500
Sc 0.120 0.370 0.249
Sc 0.375 0.625 0.500
Dy 0.375 0.625 0.000
Zr 0.875 0.125 0.000

***

Below is a relaxed Y3BrF crystal, with properties calculated at the PBE-GGA level.

The value obtained for the uncorrected formation energy is -725.7 meV per atom. The energy above the most stable polymorph in this dataset is 0 meV per atom.

abc: 4.969 4.969 4.969
angles: 90.00 90.00 90.00
Sites, in units of the cell vectors:
Y 0.000 0.500 0.000
Y 0.500 0.000 0.000
Y 0.000 0.000 0.500
Br 0.500 0.500 0.500
F 0.000 0.000 0.000

***

no.,total DFT energy (no corrections) (eV per atom),total moment (μB/cell)
1,-5.50,0.00
2,-7.73,0.00
3,-3.15,1.41
4,-6.32,0.00
5,-5.31,0.00